# 1
DFT (PBE-GGA) results for a relaxed structure of Tm12Sc6Tl.

Cell: 8.1617 8.1617 8.1617 Å, 88.25 88.25 88.25°
Fractional positions:
1 Tm 0.0395 0.2872 0.9342
2 Tm 0.0658 0.9605 0.7128
3 Tm 0.1309 0.3271 0.4908
4 Tm 0.2872 0.9342 0.0395
5 Tm 0.3271 0.4908 0.1309
6 Tm 0.4908 0.1309 0.3271
7 Tm 0.5092 0.8691 0.6729
8 Tm 0.6729 0.5092 0.8691
9 Tm 0.7128 0.0658 0.9605
10 Tm 0.8691 0.6729 0.5092
11 Tm 0.9342 0.0395 0.2872
12 Tm 0.9605 0.7128 0.0658
13 Sc 0.2183 0.5986 0.7568
14 Sc 0.2432 0.7817 0.4014
15 Sc 0.4014 0.2432 0.7817
16 Sc 0.5986 0.7568 0.2183
17 Sc 0.7568 0.2183 0.5986
18 Sc 0.7817 0.4014 0.2432
19 Tl 0.5000 0.5000 0.5000

Values from the calculation:
Total moment   0.0 Bohr magnetons per cell
Mass density   7650 kg/m3
Formation energy from the elements   0.093 eV/atom
Total energy   -4.8550 eV/atom
N(E_F)   32.92 states/eV per cell

---

# 2
DFT (PBE-GGA) results for a relaxed structure of AlRu2Cl.

Cell: 5.0325 5.0325 2.9434 Å, 106.10 106.10 112.52°
Fractional positions:
1 Al 0.0000 0.0000 0.0000
2 Ru 0.0000 0.5000 0.5000
3 Ru 0.5000 0.0000 0.5000
4 Cl 0.5000 0.5000 0.0000

Values from the calculation:
Total moment   0.0 Bohr magnetons per cell
Mass density   7364 kg/m3
E_form (uncorrected)   392 meV/atom
Total energy   -5.6433 eV/atom
N(E_F)   3.86 states/eV per cell
Energy above the lowest structure with this stoichiometry   497 meV per atom

---

# 3
DFT (PBE-GGA) results for a relaxed structure of Er5Tl4O.

Cell: 7.2296 7.2296 7.2296 Å, 99.41 99.41 132.31°
Fractional positions:
1 Er 0.0000 0.0000 0.0000
2 Er 0.3179 0.6638 0.9007
3 Er 0.4173 0.3179 0.6541
4 Er 0.6638 0.7631 0.3459
5 Er 0.7631 0.4173 0.0993
6 Tl 0.0912 0.3781 0.3857
7 Tl 0.3781 0.9924 0.2869
8 Tl 0.7055 0.0912 0.7131
9 Tl 0.9924 0.7055 0.6143
10 O 0.6008 0.6008 0.0000

Values from the calculation:
Total moment   0.0 Bohr magnetons per cell
Mass density   10849 kg/m3
E_form (uncorrected)   -643 meV/atom
Total energy   -4.3667 eV/atom
N(E_F)   7.66 states/eV per cell

---

# 4
DFT (PBE-GGA) results for a relaxed structure of Pa2TcS6.

Cell: 6.0208 7.0268 10.3463 Å, 90.00 124.78 90.00°
Fractional positions:
1 Pa 0.2067 0.1296 0.2572
2 Pa 0.2067 0.3704 0.7572
3 Pa 0.7933 0.6296 0.2428
4 Pa 0.7933 0.8704 0.7428
5 Tc 0.0000 0.0000 0.5000
6 Tc 0.0000 0.5000 0.0000
7 S 0.0863 0.1865 0.9413
8 S 0.0863 0.3135 0.4413
9 S 0.2843 0.6776 0.9404
10 S 0.2843 0.8224 0.4404
11 S 0.4068 0.0356 0.7618
12 S 0.4068 0.4644 0.2618
13 S 0.5932 0.5356 0.7382
14 S 0.5932 0.9644 0.2382
15 S 0.7157 0.1776 0.5596
16 S 0.7157 0.3224 0.0596
17 S 0.9137 0.6865 0.5587
18 S 0.9137 0.8135 0.0587

Values from the calculation:
Total moment   1.9 Bohr magnetons per cell
Mass density   6951 kg/m3
E_form (uncorrected)   -1310 meV/atom
Total energy   -7.3233 eV/atom
N(E_F)   4.98 states/eV per cell

---

# 5
DFT (PBE-GGA) results for a relaxed structure of BaTlCd2In.

Cell: 7.1287 7.1287 7.1287 Å, 139.58 138.90 59.01°
Fractional positions:
1 Ba 0.0000 0.0000 0.0000
2 Tl 0.3873 0.3873 0.0000
3 Cd 0.6208 0.6208 0.0000
4 Cd 0.7497 0.2497 0.5000
5 In 0.2436 0.7436 0.5000

Values from the calculation:
Total moment   0.0 Bohr magnetons per cell
Mass density   7399 kg/m3
Formation energy from the elements   -0.287 eV/atom
Total energy   -2.0581 eV/atom
N(E_F)   2.28 states/eV per cell
Energy above the lowest structure with this stoichiometry   0 meV per atom

---

# 6
DFT (PBE-GGA) results for a relaxed structure of Pm6Al3Zn.

Cell: 9.2923 5.2151 11.6610 Å, 90.00 108.70 90.00°
Fractional positions:
1 Pm 0.0373 0.2500 0.4123
2 Pm 0.1611 0.7500 0.1692
3 Pm 0.2500 0.2500 0.9982
4 Pm 0.3401 0.7500 0.8094
5 Pm 0.3722 0.2500 0.3513
6 Pm 0.3935 0.2500 0.6300
7 Pm 0.6065 0.7500 0.3700
8 Pm 0.6278 0.7500 0.6487
9 Pm 0.6599 0.2500 0.1906
10 Pm 0.7500 0.7500 0.0018
11 Pm 0.8389 0.2500 0.8308
12 Pm 0.9627 0.7500 0.5877
13 Al 0.0326 0.7500 0.8753
14 Al 0.1129 0.2500 0.7191
15 Al 0.2680 0.7500 0.4698
16 Al 0.7320 0.2500 0.5302
17 Al 0.8871 0.7500 0.2809
18 Al 0.9674 0.2500 0.1247
19 Zn 0.4600 0.7500 0.0934
20 Zn 0.5400 0.2500 0.9066

Values from the calculation:
Total moment   0.0 Bohr magnetons per cell
Mass density   6306 kg/m3
Formation energy from the elements   -0.265 eV/atom
Total energy   -4.3656 eV/atom
N(E_F)   17.25 states/eV per cell

---

# 7
DFT (PBE-GGA) results for a relaxed structure of TaNiTe3.

Cell: 5.3512 5.3512 5.3512 Å, 90.00 90.00 90.00°
Fractional positions:
1 Ta 0.0000 0.0000 0.0000
2 Ni 0.5000 0.5000 0.5000
3 Te 0.0000 0.0000 0.5000
4 Te 0.0000 0.5000 0.0000
5 Te 0.5000 0.0000 0.0000

Values from the calculation:
Total moment   0.0 Bohr magnetons per cell
Mass density   6745 kg/m3
E_form (uncorrected)   821 meV/atom
Total energy   -4.5912 eV/atom
N(E_F)   11.49 states/eV per cell
Energy above the lowest structure with this stoichiometry   944 meV per atom

---

# 8
DFT (PBE-GGA) results for a relaxed structure of NaGe.

Cell: 4.1459 10.4014 7.0703 Å, 90.00 90.00 90.00°
Fractional positions:
1 Na 0.2500 0.0808 0.1336
2 Na 0.2500 0.4192 0.1336
3 Na 0.2500 0.7500 0.5208
4 Na 0.7500 0.2500 0.4792
5 Na 0.7500 0.5808 0.8664
6 Na 0.7500 0.9192 0.8664
7 Ge 0.2500 0.0305 0.6080
8 Ge 0.2500 0.2500 0.7880
9 Ge 0.2500 0.4695 0.6080
10 Ge 0.7500 0.5305 0.3920
11 Ge 0.7500 0.7500 0.2120
12 Ge 0.7500 0.9695 0.3920

Values from the calculation:
Total moment   0.0 Bohr magnetons per cell
Mass density   3125 kg/m3
Formation energy from the elements   -0.014 eV/atom
Total energy   -2.9825 eV/atom
N(E_F)   3.21 states/eV per cell

---

What is the formula in the seventh record?
TaNiTe3

---

Which of these has the highest total moment?
Pa2TcS6